The following is a DFT calculation (PBE) of a relaxed TaCdRu2 crystal.

Calculated values
- Magnetization: 0.00 Bohr magnetons per cell
- Formation enthalpy at 0 K: 53 kJ/mol of formula units
- Symmetry: P4mm (99)

a b c (Å): 2.815 2.815 8.322
angles (deg): 90.00 90.00 89.99
Sites, in units of the cell vectors:
Ru (0.500, 0.500, 0.226)
Ru (0.000, 0.000, 0.027)
Ta (0.000, 0.000, 0.481)
Cd (0.500, 0.500, 0.767)

***

The following is a DFT calculation (PBE) of a relaxed ThCu2Ge2Au crystal.

Calculated values
- Magnetization: 0.00 Bohr magnetons per cell
- Formation enthalpy at 0 K: -204 kJ/mol of formula units
- Symmetry: P-3m1 (164)

a b c (Å): 4.260 4.260 6.928
angles (deg): 90.00 90.00 120.00
Sites, in units of the cell vectors:
Ge (0.333, 0.667, 0.263)
Th (0.000, 0.000, 0.000)
Au (0.000, 0.000, 0.500)
Ge (0.667, 0.333, 0.737)
Cu (0.333, 0.667, 0.683)
Cu (0.667, 0.333, 0.317)

***

The following is a DFT calculation (PBE) of a relaxed Cr2GaTeAs crystal.

Calculated values
- Magnetization: 7.45 Bohr magnetons per cell
- Uncorrected formation energy: 1.0234 eV/atom
- Symmetry: P4/mmm (123)

a b c (Å): 4.795 5.265 4.795
angles (deg): 90.00 90.00 90.00
Sites, in units of the cell vectors:
Cr (0.500, 0.000, 0.000)
Cr (0.000, 0.000, 0.500)
As (0.500, 0.500, 0.500)
Ga (0.000, 0.000, 0.000)
Te (0.000, 0.500, 0.000)